Computed, not measured: crystalline La2MgSe at its relaxed geometry at the PBE level of DFT.

Cell lengths 6.3872, 6.3872, 6.3872 Å; angles 138.61, 138.61, 59.97 degrees
Closest atoms and distances in Å follow each position.
Positions (direct):
La (0.0000, 0.0000, 0.0000)  4 Se 3.19, 4 La 3.57, 4 Mg 3.57
La (0.7500, 0.2500, 0.5000)  4 Mg 3.19, 4 La 3.57, 4 Se 3.57
Mg (0.2500, 0.7500, 0.5000)  8 La 3.19-3.57, 4 Se 3.57
Se (0.5000, 0.5000, 0.0000)  8 La 3.19-3.57, 4 Mg 3.57

Its uncorrected formation energy is -0.611 eV per atom. For the relative energy among the computed polymorphs, the calculation gives 285 meV/atom. Its crystal system is tetragonal. Its calculated total energy is -17.38 eV per cell. As for the density: 5.6 Mg/m³.


Computed, not measured: crystalline La2MgSe at its relaxed geometry at the PBE level of DFT.

Cell lengths 3.6501, 5.4957, 5.5981 Å; angles 90.00, 90.00, 90.00 degrees
Closest atoms and distances in Å follow each position.
Positions (direct):
La (0.0000, 0.0000, 0.0000)  4 Se 3.30, 4 Mg 3.34, 2 La 3.65
La (0.0000, 0.5000, 0.5000)  4 Mg 3.30, 4 Se 3.34, 2 La 3.65
Mg (0.5000, 0.0000, 0.5000)  8 La 3.30-3.34, 2 Mg 3.65
Se (0.5000, 0.5000, 0.0000)  8 La 3.30-3.34, 2 Se 3.65

Its uncorrected formation energy is -0.744 eV per atom. For the relative energy among the computed polymorphs, the calculation gives 152 meV/atom. Its crystal system is orthorhombic. Its calculated total energy is -17.91 eV per cell. As for the density: 5.6 Mg/m³.


Computed, not measured: crystalline LaMgSe2 at its relaxed geometry at the PBE level of DFT.

Cell lengths 7.4927, 7.4927, 7.4927 Å; angles 31.21, 31.21, 31.21 degrees
Closest atoms and distances in Å follow each position.
Positions (direct):
La (0.0000, 0.0000, 0.0000)  6 Se 3.08-3.10
Mg (0.8314, 0.8314, 0.8314)  6 Se 2.76-2.81
Se (0.2386, 0.2386, 0.2386)  3 Mg 2.81, 3 La 3.08
Se (0.4289, 0.4289, 0.4289)  3 Mg 2.76

Its uncorrected formation energy is -1.520 eV per atom. Its crystal system is trigonal. Its calculated total energy is -19.57 eV per cell. As for the density: 5.3 Mg/m³.